4
Lattice="-2.3833 -2.9991 1.8968 2.7369 -3.0079 -1.3170 3.0727 3.6942 4.8853" Properties=species:S:1:pos:R:3 comment="InHgBr2 (meta-GGA SCAN, PBEsol geometry)" e_tot_ev_per_atom=-35.44 mass_density_kg_m3=7023 pbc="T T T"
Br 0.4331 -1.1542 3.5360
Hg 0.1768 -3.0035 0.2899
Br 0.0000 0.0000 0.0000
In 2.9932 -1.1585 1.9291

***

5
Lattice="4.7198 0.0000 0.0000 0.0000 4.7198 0.0000 0.0000 0.0000 4.9270" Properties=species:S:1:pos:R:3 comment="NbHS2Cl (meta-GGA SCAN, PBEsol geometry)" e_tot_ev_per_atom=-12.91 mass_density_kg_m3=2928 pbc="T T T"
Nb 0.0000 0.0000 0.0000
Cl 0.0000 0.0000 2.4635
H 2.3599 2.3599 2.4635
S 2.3599 0.0000 0.0000
S 0.0000 2.3599 0.0000